1.
This record from Alexandria describes SbAu2 at its PBEsol-relaxed geometry. The functional is SCAN.

Calculated values
Uncorrected energy ... -175.49 eV/cell

abc: 4.0236 4.0236 4.0808
angles: 90.00 90.00 90.00
Space group P4/mmm (No. 123)
Asymmetric unit:
Sb 0.0000 0.0000 0.0000 [1 per cell]
Au 0.0000 0.5000 0.5000 [2 per cell]

---

2.
This record from Alexandria describes BeMoCl2 at its PBEsol-relaxed geometry. The functional is SCAN.

Calculated values
Energy above the lowest structure with this stoichiometry ... 0.0000 eV/atom

abc: 2.9912 2.9912 22.2328
angles: 90.00 90.00 120.00
Space group R-3m (No. 166, hexagonal axes)
Asymmetric unit:
Be 0.0000 0.0000 0.0000 [3 per cell]
Mo 0.0000 0.0000 0.5000 [3 per cell]
Cl 0.0000 0.0000 0.3922 [6 per cell]

---

3.
This record from Alexandria describes Ba2LaAg2 at its PBEsol-relaxed geometry. The functional is SCAN.

Calculated values
Calculated formation energy ... -0.141 eV per atom

abc: 8.7490 8.7490 4.7938
angles: 90.00 90.00 90.00
Space group P4/mbm (No. 127)
Asymmetric unit:
Ba 0.1706 0.3294 0.0000 [4 per cell]
La 0.0000 0.0000 0.5000 [2 per cell]
Ag 0.1261 0.6261 0.5000 [4 per cell]

---

4.
This record from Alexandria describes Co4SbP at its PBEsol-relaxed geometry. The functional is SCAN.

Calculated values
Uncorrected energy ... -456.58 eV/cell

abc: 6.7436 6.7436 6.7436
angles: 90.00 90.00 90.00
Space group F-43m (No. 216)
Asymmetric unit:
Co 0.1245 0.1245 0.3755 [16 per cell]
Sb 0.0000 0.0000 0.0000 [4 per cell]
P 0.2500 0.2500 0.7500 [4 per cell]

---

5.
This record from Alexandria describes Mg2NiW at its PBEsol-relaxed geometry. The functional is SCAN.

Calculated values
Calculated formation energy ... 0.473 eV per atom
Energy above the lowest structure with this stoichiometry ... 0.1277 eV/atom

abc: 3.8175 3.8175 4.1440
angles: 90.00 90.00 90.00
Space group P4/mmm (No. 123)
Asymmetric unit:
Mg 0.0000 0.5000 0.0000 [2 per cell]
Ni 0.0000 0.0000 0.5000 [1 per cell]
W 0.5000 0.5000 0.5000 [1 per cell]

---

6.
This record from Alexandria describes TaNbAl6 at its PBEsol-relaxed geometry. The functional is SCAN.

Calculated values
Calculated formation energy ... -0.410 eV per atom

abc: 3.8257 3.8257 8.5370
angles: 90.00 90.00 90.00
Space group P4/mmm (No. 123)
Asymmetric unit:
Ta 0.0000 0.0000 0.0000 [1 per cell]
Nb 0.5000 0.5000 0.5000 [1 per cell]
Al 0.0000 0.0000 0.5000 [1 per cell]
Al 0.0000 0.5000 0.2492 [4 per cell]
Al 0.5000 0.5000 0.0000 [1 per cell]